Entry 1:
Computed, not measured: an optimized crystal structure of Hf2MgNi9 at the PBE level of DFT.

Cell and atoms, written as CIF:
```
data_Hf2MgNi9
_chemical_formula_sum 'Hf2 Mg1 Ni9'
_cell_length_a 3.709
_cell_length_b 3.709
_cell_length_c 11.049
_cell_angle_alpha 90.00
_cell_angle_beta 90.00
_cell_angle_gamma 90.00
_symmetry_space_group_name_H-M 'P 4/m m m'
_symmetry_Int_Tables_number 123
_symmetry_space_group_name_Hall '-P 4 2'
loop_
_atom_site_label
_atom_site_fract_x
_atom_site_fract_y
_atom_site_fract_z
Hf1 0.000 0.000 0.172
Mg1 0.000 0.000 0.500
Ni1 0.000 0.500 0.000
Ni2 0.000 0.500 0.338
Ni3 0.500 0.500 0.167
Ni4 0.500 0.500 0.500
```

Output
- Total energy: -6.513 eV per atom
- ΔE to the lowest computed polymorph: 0.00 kJ/mol of atoms
- Formation enthalpy at 0 K: -0.39 eV per atom

***

Entry 2:
Computed, not measured: an optimized crystal structure of La4POsBr2 at the PBE level of DFT.

Cell and atoms, written as CIF:
```
data_La4POsBr2
_chemical_formula_sum 'La4 P1 Os1 Br2'
_cell_length_a 7.510
_cell_length_b 4.210
_cell_length_c 7.936
_cell_angle_alpha 90.00
_cell_angle_beta 106.09
_cell_angle_gamma 90.00
_symmetry_space_group_name_H-M 'P 1 2/m 1'
_symmetry_Int_Tables_number 10
_symmetry_space_group_name_Hall '-P 2y'
loop_
_atom_site_label
_atom_site_fract_x
_atom_site_fract_y
_atom_site_fract_z
La1 0.224 0.000 0.202
La2 0.252 0.500 0.803
P1 0.500 0.000 0.000
Os1 0.000 0.500 0.000
Br1 0.000 0.000 0.500
Br2 0.500 0.500 0.500
```

Output
- Total energy: -6.160 eV per atom
- Uncorrected formation energy: -1.20 eV per atom